Compound: BaZnSn2Se6
Source: Alexandria via LeMat-Bulk
Functional: PBE
Structure: relaxed

abc: 9.6548 9.6548 7.4564
angles: 108.11 108.11 82.64
Last column: nearest neighbours and their distance in Å.
Element x y z (fractional)
Ba: 0.1946 0.8054 0.7500  8 Se 3.29-3.61
Ba: 0.8054 0.1946 0.2500  8 Se 3.29-3.61
Zn: 0.3390 0.6610 0.2500  4 Se 2.51-2.52
Zn: 0.6610 0.3390 0.7500  4 Se 2.51-2.52
Sn: 0.1256 0.3217 0.8352  4 Se 2.54-2.70
Sn: 0.3217 0.1256 0.3352  4 Se 2.54-2.70
Sn: 0.6783 0.8744 0.6648  4 Se 2.54-2.70
Sn: 0.8744 0.6783 0.1648  4 Se 2.54-2.70
Se: 0.0934 0.1486 0.0255  2 Sn 2.61-2.70
Se: 0.1262 0.5722 0.3076  1 Zn 2.52, 1 Sn 2.55
Se: 0.1486 0.0934 0.5255  2 Sn 2.61-2.70
Se: 0.3344 0.4880 0.9174  1 Zn 2.51, 1 Sn 2.54
Se: 0.4278 0.8738 0.1924  1 Zn 2.52, 1 Sn 2.55
Se: 0.4880 0.3344 0.4174  1 Zn 2.51, 1 Sn 2.54
Se: 0.5120 0.6656 0.5826  1 Zn 2.51, 1 Sn 2.54
Se: 0.5722 0.1262 0.8076  1 Zn 2.52, 1 Sn 2.55
Se: 0.6656 0.5120 0.0826  1 Zn 2.51, 1 Sn 2.54
Se: 0.8514 0.9066 0.4745  2 Sn 2.61-2.70
Se: 0.8738 0.4278 0.6924  1 Zn 2.52, 1 Sn 2.55
Se: 0.9066 0.8514 0.9745  2 Sn 2.61-2.70

The space-group type is C2/c. As for the density: 4.84 Mg/m³. The uncorrected formation energy comes out at -0.7216 eV/atom. The calculated volume comes out at 31.4 Å³ per atom. Its spin magnetization is 0.00 μB per atom.